[1]
Density functional theory data (PBE) for an optimized crystal structure of Hf6Hg3Os.

a b c (Å): 5.3403 8.6856 10.8448
angles (deg): 90.00 118.45 90.00
Space group P2_1/c (No. 14)
Unique sites:
Hf 0.0144 0.2003 0.4418 x4
Hf 0.3723 0.1186 0.2337 x4
Hf 0.3755 0.6689 0.4605 x4
Hg 0.1192 0.0864 0.7446 x4
Hg 0.5000 0.0000 0.5000 x2
Os 0.0000 0.0000 0.0000 x2

Output
Fermi-level density of states (states/eV/f.u.): 8.72
Energy of formation from the pure elements (eV/atom): 0.051
Total moment (μB per cell): 0.00
Raw total energy (eV per cell): -142.70
V (Å³/f.u.): 221



[2]
Density functional theory data (PBE) for an optimized crystal structure of BaAl3.

a b c (Å): 5.9360 10.5889 6.6659
angles (deg): 90.00 90.00 90.00
Space group Imma (No. 74)
Unique sites:
Ba 0.0000 0.2500 0.1184 x4
Al 0.0000 0.2500 0.6330 x4
Al 0.2500 0.0406 0.7500 x8

Output
Fermi-level density of states (states/eV/f.u.): 2.16
Energy of formation from the pure elements (eV/atom): 0.108
Total moment (μB per cell): 0.00
Raw total energy (eV per cell): -50.87
V (Å³/f.u.): 105



[3]
Density functional theory data (PBE) for an optimized crystal structure of Na2NpO6.

a b c (Å): 10.7234 5.9800 3.8166
angles (deg): 90.00 98.66 90.00
Space group C2/m (No. 12)
Unique sites:
Na 0.1641 0.0000 0.1813 x4
Np 0.0000 0.5000 0.5000 x2
O 0.0000 0.2769 0.0000 x4
O 0.1351 0.2796 0.6660 x8

Output
Fermi-level density of states (states/eV/f.u.): 2.17
Total moment (μB per cell): 0.00
Raw total energy (eV per cell): -118.26
V (Å³/f.u.): 121



[4]
Density functional theory data (PBE) for an optimized crystal structure of Tl3HgRh.

a b c (Å): 5.3652 5.3816 9.7332
angles (deg): 98.85 97.72 97.82
Space group P1 (No. 1)
Unique sites:
Tl 0.0000 0.0000 0.0000 x1
Tl 0.0362 0.5553 0.2386 x1
Tl 0.3948 0.3682 0.5194 x1
Tl 0.4522 0.9447 0.7797 x1
Tl 0.5490 0.0349 0.2367 x1
Tl 0.8892 0.8650 0.5322 x1
Hg 0.4737 0.4863 0.9680 x1
Hg 0.9430 0.4439 0.7639 x1
Rh 0.3775 0.8593 0.4896 x1
Rh 0.5408 0.5373 0.2566 x1

Output
Fermi-level density of states (states/eV/f.u.): 2.87
Energy of formation from the pure elements (eV/atom): 0.044
Total moment (μB per cell): 0.00
Raw total energy (eV per cell): -29.07
V (Å³/f.u.): 136



[5]
Density functional theory data (PBE) for an optimized crystal structure of Ca6Pb2Au.

a b c (Å): 6.9040 8.6324 12.2402
angles (deg): 90.00 122.75 90.00
Space group P2_1/c (No. 14)
Unique sites:
Ca 0.0904 0.1775 0.4405 x4
Ca 0.2994 0.6793 0.4423 x4
Ca 0.3834 0.0301 0.2703 x4
Pb 0.1939 0.1179 0.7472 x4
Au 0.0000 0.0000 0.0000 x2

Output
Fermi-level density of states (states/eV/f.u.): 5.16
Energy of formation from the pure elements (eV/atom): -0.481
Total moment (μB per cell): 0.00
Raw total energy (eV per cell): -54.07
V (Å³/f.u.): 307



[6]
Density functional theory data (PBE) for an optimized crystal structure of Re3Os.

a b c (Å): 2.7776 4.4318 4.8010
angles (deg): 90.00 90.00 90.00
Space group Pmm2 (No. 25)
Unique sites:
Re 0.0000 0.0000 0.0000 x1
Re 0.0000 0.5000 0.3347 x1
Re 0.5000 0.5000 0.8341 x1
Os 0.5000 0.0000 0.4972 x1

Output
Fermi-level density of states (states/eV/f.u.): 2.62
Energy of formation from the pure elements (eV/atom): -0.056
Total moment (μB per cell): 0.00
Raw total energy (eV per cell): -48.80
V (Å³/f.u.): 59



[7]
Density functional theory data (PBE) for an optimized crystal structure of HoPa2Mo.

a b c (Å): 3.3931 3.3931 8.4967
angles (deg): 90.00 90.00 90.00
Space group P4/mmm (No. 123)
Unique sites:
Ho 0.0000 0.0000 0.0000 x1
Pa 0.5000 0.5000 0.2928 x2
Mo 0.0000 0.0000 0.5000 x1

Output
Fermi-level density of states (states/eV/f.u.): 8.86
Energy of formation from the pure elements (eV/atom): 0.207
Total moment (μB per cell): 0.00
Raw total energy (eV per cell): -33.57
V (Å³/f.u.): 98



[8]
Density functional theory data (PBE) for an optimized crystal structure of BeRuCl2.

a b c (Å): 4.3437 4.3437 3.0419
angles (deg): 90.00 90.00 90.00
Space group P4/mmm (No. 123)
Unique sites:
Be 0.0000 0.0000 0.0000 x1
Ru 0.5000 0.5000 0.0000 x1
Cl 0.0000 0.5000 0.5000 x2

Output
Fermi-level density of states (states/eV/f.u.): 2.13
Total moment (μB per cell): 0.00
Raw total energy (eV per cell): -13.60
V (Å³/f.u.): 57